## NdP3Rh5 (PBE-GGA)

Data for a geometry-optimized NdP3Rh5 structure.

```
NdP3Rh5
1.0
3.9030 0.0000 0.0000
-1.9515 6.0411 0.0000
0.0000 0.0000 12.2372
Rh P Nd
10 6 2
direct
0.5604 0.1209 0.6412 Rh
0.4396 0.8791 0.1412 Rh
0.7895 0.5790 0.0777 Rh
0.0000 0.0000 0.0000 Rh
0.0000 0.0000 0.5000 Rh
0.7895 0.5790 0.4223 Rh
0.4396 0.8791 0.3588 Rh
0.2105 0.4210 0.5777 Rh
0.5604 0.1209 0.8588 Rh
0.2105 0.4210 0.9223 Rh
0.6102 0.2204 0.4551 P
0.6102 0.2204 0.0449 P
0.8837 0.7674 0.2500 P
0.3898 0.7796 0.5449 P
0.3898 0.7796 0.9551 P
0.1163 0.2326 0.7500 P
0.8513 0.7027 0.7500 Nd
0.1487 0.2973 0.2500 Nd
```

Output
- DFT formation energy (eV/atom) = -0.842
- theoretical density (g/cm3) = 8.652